(1)
5
Lattice="5.154 0.000 0.000 0.000 5.154 0.000 0.000 0.000 5.154" Properties=species:S:1:pos:R:3 comment="Nd3YH | Alexandria | PBE-GGA | optimized geometry" e_tot_ev_per_atom=-4.9914 total_magnetization_mub_per_cell=0.00 pbc="T T T"
Nd 0.000 0.000 2.577
Nd 2.577 0.000 0.000
Nd 0.000 2.577 0.000
H 0.000 0.000 0.000
Y 2.577 2.577 2.577


(2)
4
Lattice="3.520 0.000 0.000 0.000 3.520 0.000 0.000 0.000 7.170" Properties=species:S:1:pos:R:3 comment="Gd2RhSe | Alexandria | PBE-GGA | optimized geometry" e_tot_ev_per_atom=-10.9030 de_polymorph_mev_per_atom=90 formation_energy_uncorrected_ev_per_atom=-1.154 total_magnetization_mub_per_cell=14.21 pbc="T T T"
Se 1.760 1.760 3.585
Gd 0.000 0.000 5.476
Gd 0.000 0.000 1.694
Rh 1.760 1.760 0.000


(3)
12
Lattice="-2.261 2.163 2.431 0.581 -2.643 2.894 10.617 6.948 6.951" Properties=species:S:1:pos:R:3 comment="NpP2Pt7Au2 | Alexandria | PBE-GGA | optimized geometry" e_tot_ev_per_atom=-6.3505 delta_e_f_ev_per_atom=-0.300 total_magnetization_mub_per_cell=3.49 pbc="T T T"
P 2.077 1.589 3.745
P 6.861 4.879 8.530
Au 2.942 2.418 7.037
Au 5.996 4.050 5.238
Pt -0.840 -0.240 2.662
Pt 7.635 6.868 7.479
Pt -0.118 2.002 4.565
Pt 9.056 4.466 7.710
Pt 1.303 -0.400 4.797
Pt 3.846 2.699 4.399
Pt 5.092 3.770 7.876
Np 0.000 0.000 0.000


What did the first record say?
5
Lattice="5.154 0.000 0.000 0.000 5.154 0.000 0.000 0.000 5.154" Properties=species:S:1:pos:R:3 comment="Nd3YH | Alexandria | PBE-GGA | optimized geometry" e_tot_ev_per_atom=-4.9914 total_magnetization_mub_per_cell=0.00 pbc="T T T"
Nd 0.000 0.000 2.577
Nd 2.577 0.000 0.000
Nd 0.000 2.577 0.000
H 0.000 0.000 0.000
Y 2.577 2.577 2.577